# 1
Material: Al2CdHg
Method: DFT, PBE
State: relaxed

Calculated values
Total magnetic moment = 0.00 μB/f.u.
DFT formation energy = 0.20 eV per atom
Density = 7246 kg/m3
Offset from the most stable computed form = 84 meV/atom
N(E_F) = 1.873 states/eV/f.u.
Final energy = -1.978 eV per atom

Unit cell a=3.038 b=4.982 c=5.556 alpha=90.00 beta=90.00 gamma=90.00
Space group Pmmm (No. 47)
Symmetry-distinct sites (fractional):
Al1 0.000 0.000 0.000
Al2 0.500 0.000 0.500
Cd1 0.000 0.500 0.500
Hg1 0.500 0.500 0.000



# 2
Material: Ba2Ga2Si
Method: DFT, PBE
State: relaxed

Calculated values
Total magnetic moment = 0.00 μB/f.u.
Uncorrected formation energy = -96 kJ/mol of formula units
Density = 5065 kg/m3
Offset from the most stable computed form = 127 meV/atom
N(E_F) = 1.663 states/eV/f.u.
Final energy = -3.264 eV per atom

Unit cell a=7.439 b=7.439 c=5.240 alpha=90.00 beta=90.00 gamma=90.00
Space group P4/mbm (No. 127)
Symmetry-distinct sites (fractional):
Ba1 0.186 0.314 0.000
Ga1 0.125 0.625 0.500
Si1 0.000 0.000 0.500



# 3
Material: Tl2InNi
Method: DFT, PBE
State: relaxed

Calculated values
Total magnetic moment = 0.00 μB/f.u.
DFT formation energy = 0.11 eV per atom
Density = 9621 kg/m3
N(E_F) = 1.841 states/eV/f.u.
Final energy = -3.205 eV per atom

Unit cell a=9.347 b=3.272 c=6.994 alpha=90.00 beta=109.99 gamma=90.00
Space group Cm (No. 8)
Symmetry-distinct sites (fractional):
Tl1 0.000 0.000 0.000
Tl2 0.176 0.000 0.677
In1 0.323 0.500 0.341
Ni1 0.045 0.500 0.338



# 4
Material: La2HgS2O2
Method: DFT, PBE
State: relaxed

Calculated values
Total magnetic moment = 0.00 μB/f.u.
Uncorrected formation energy = -1508 kJ/mol of formula units
Density = 5684 kg/m3
N(E_F) = 0.000 states/eV/f.u.
Final energy = -6.279 eV per atom

Unit cell a=4.1454 b=4.1454 c=11.2787 alpha=90.00 beta=90.00 gamma=120.00
Space group P-3m1 (No. 164)
Symmetry-distinct sites (fractional):
La1 0.3333 0.6667 0.1338
Hg1 0.0000 0.0000 0.5000
S1 0.0000 0.0000 0.2943
O1 0.3333 0.6667 0.9223



Copy entry 1 word for word.
Material: Al2CdHg
Method: DFT, PBE
State: relaxed

Calculated values
Total magnetic moment = 0.00 μB/f.u.
DFT formation energy = 0.20 eV per atom
Density = 7246 kg/m3
Offset from the most stable computed form = 84 meV/atom
N(E_F) = 1.873 states/eV/f.u.
Final energy = -1.978 eV per atom

Unit cell a=3.038 b=4.982 c=5.556 alpha=90.00 beta=90.00 gamma=90.00
Space group Pmmm (No. 47)
Symmetry-distinct sites (fractional):
Al1 0.000 0.000 0.000
Al2 0.500 0.000 0.500
Cd1 0.000 0.500 0.500
Hg1 0.500 0.500 0.000



Which value of N(E_F) does entry 3 give? 1.841 states/eV/f.u.